Material: B6BrN6
Method: DFT, PBE-GGA
State: relaxed

E_tot	-7.313	eV/atom
formation energy from raw total energies	-0.260	eV/atom
symmetry	Pm-3 (200)
D(E_F)	0.3141	states/eV per atom

a = 4.626 Å, b = 4.626 Å, c = 4.626 Å
α = 90.00°, β = 90.00°, γ = 90.00°
Sites, in units of the cell vectors:
B 0.000 0.249 0.500
B 0.000 0.751 0.500
B 0.249 0.500 0.000
B 0.500 0.000 0.249
B 0.500 0.000 0.751
B 0.751 0.500 0.000
Br 0.000 0.000 0.000
N 0.000 0.500 0.255
N 0.000 0.500 0.745
N 0.255 0.000 0.500
N 0.500 0.255 0.000
N 0.500 0.745 0.000
N 0.745 0.000 0.500


Material: Hf2Al5Tc2Pd
Method: DFT, PBE-GGA
State: relaxed

E_tot	-6.776	eV/atom
formation energy	-0.322	eV per atom
symmetry	P4/mbm (127)
D(E_F)	0.7570	states/eV per atom

a = 10.126 Å, b = 10.126 Å, c = 3.301 Å
α = 90.00°, β = 90.00°, γ = 90.00°
Sites, in units of the cell vectors:
Hf 0.188 0.312 0.000
Hf 0.312 0.812 0.000
Hf 0.688 0.188 0.000
Hf 0.812 0.688 0.000
Al 0.000 0.500 0.500
Al 0.046 0.803 0.500
Al 0.197 0.046 0.500
Al 0.303 0.546 0.500
Al 0.454 0.303 0.500
Al 0.500 0.000 0.500
Al 0.546 0.697 0.500
Al 0.697 0.454 0.500
Al 0.803 0.954 0.500
Al 0.954 0.197 0.500
Tc 0.128 0.628 0.000
Tc 0.372 0.128 0.000
Tc 0.628 0.872 0.000
Tc 0.872 0.372 0.000
Pd 0.000 0.000 0.000
Pd 0.500 0.500 0.000


Material: KMgPSe4
Method: DFT, PBE-GGA
State: relaxed

E_tot	-3.834	eV/atom
formation energy from raw total energies	-0.686	eV/atom
symmetry	P2_1/m (11)

a = 6.460 Å, b = 7.068 Å, c = 9.016 Å
α = 90.00°, β = 107.93°, γ = 90.00°
Sites, in units of the cell vectors:
K 0.227 0.250 0.060
K 0.773 0.750 0.940
Mg 0.236 0.250 0.557
Mg 0.764 0.750 0.443
P 0.211 0.750 0.333
P 0.789 0.250 0.667
Se 0.017 0.003 0.705
Se 0.017 0.497 0.705
Se 0.405 0.750 0.170
Se 0.441 0.750 0.573
Se 0.559 0.250 0.427
Se 0.595 0.250 0.830
Se 0.983 0.503 0.295
Se 0.983 0.997 0.295


Material: SmAlZnAg
Method: DFT, PBE-GGA
State: relaxed

E_tot	-3.464	eV/atom
formation energy	-0.317	eV per atom
symmetry	F-43m (216)
D(E_F)	0.3831	states/eV per atom

a = 4.835 Å, b = 4.835 Å, c = 4.835 Å
α = 60.00°, β = 60.00°, γ = 60.00°
Sites, in units of the cell vectors:
Sm 0.000 0.000 0.000
Al 0.500 0.500 0.500
Zn 0.750 0.750 0.750
Ag 0.250 0.250 0.250


Material: TcAg2Hg
Method: DFT, PBE-GGA
State: relaxed

E_tot	-3.528	eV/atom
formation energy	0.565	eV per atom
symmetry	Imm2 (44)
D(E_F)	0.6280	states/eV per atom

a = 5.830 Å, b = 5.830 Å, c = 5.830 Å
α = 152.02°, β = 128.36°, γ = 59.75°
Sites, in units of the cell vectors:
Tc 0.000 0.000 0.000
Ag 0.246 0.746 0.500
Ag 0.497 0.497 0.000
Hg 0.752 0.252 0.500


Material: AgAu3
Method: DFT, PBE-GGA
State: relaxed

E_tot	-3.195	eV/atom
formation energy	-0.025	eV per atom
symmetry	Cmmm (65)
D(E_F)	0.2751	states/eV per atom

a = 2.919 Å, b = 2.919 Å, c = 8.449 Å
α = 90.00°, β = 90.00°, γ = 91.36°
Sites, in units of the cell vectors:
Ag 0.000 0.000 0.000
Au 0.000 0.000 0.500
Au 0.500 0.500 0.248
Au 0.500 0.500 0.752


Material: InGaGe2
Method: DFT, PBE-GGA
State: relaxed

E_tot	-3.564	eV/atom
formation energy	0.186	eV per atom
symmetry	R3m (160)
D(E_F)	0.5045	states/eV per atom

a = 6.826 Å, b = 6.826 Å, c = 6.826 Å
α = 34.25°, β = 34.25°, γ = 34.25°
Sites, in units of the cell vectors:
In 0.000 0.000 0.000
Ga 0.832 0.832 0.832
Ge 0.236 0.236 0.236
Ge 0.431 0.431 0.431


Material: Tb6YHo3
Method: DFT, PBE-GGA
State: relaxed

E_tot	-4.644	eV/atom
formation energy	0.154	eV per atom
symmetry	Cmc2_1 (36)
D(E_F)	1.4614	states/eV per atom

a = 10.962 Å, b = 10.962 Å, c = 6.212 Å
α = 90.00°, β = 90.00°, γ = 120.03°
Sites, in units of the cell vectors:
Tb 0.042 0.958 0.500
Tb 0.050 0.471 0.951
Tb 0.279 0.721 0.238
Tb 0.288 0.379 0.134
Tb 0.379 0.288 0.634
Tb 0.471 0.050 0.451
Tb 0.529 0.950 0.951
Tb 0.621 0.712 0.134
Tb 0.712 0.621 0.634
Tb 0.721 0.279 0.738
Tb 0.950 0.529 0.451
Tb 0.958 0.042 0.000
Y 0.201 0.799 0.723
Y 0.799 0.201 0.223
Ho 0.059 0.280 0.558
Ho 0.280 0.059 0.058
Ho 0.389 0.611 0.666
Ho 0.611 0.389 0.166
Ho 0.720 0.941 0.558
Ho 0.941 0.720 0.058


Material: KSr3Al
Method: DFT, PBE-GGA
State: relaxed

E_tot	-1.904	eV/atom
formation energy	0.073	eV per atom
symmetry	Pm-3m (221)
D(E_F)	0.0386	states/eV per atom

a = 6.479 Å, b = 6.479 Å, c = 6.479 Å
α = 90.00°, β = 90.00°, γ = 90.00°
Sites, in units of the cell vectors:
K 0.000 0.000 0.000
Sr 0.000 0.500 0.500
Sr 0.500 0.000 0.500
Sr 0.500 0.500 0.000
Al 0.500 0.500 0.500


Material: RbTlAg2Cl4
Method: DFT, PBE-GGA
State: relaxed

E_tot	-3.015	eV/atom
formation energy from raw total energies	-0.962	eV/atom
symmetry	I222 (23)
D(E_F)	0.0000	states/eV per atom

a = 6.877 Å, b = 6.877 Å, c = 6.877 Å
α = 112.14°, β = 110.39°, γ = 105.95°
Sites, in units of the cell vectors:
Rb 0.000 0.000 0.000
Tl 0.500 0.500 0.000
Ag 0.309 0.809 0.500
Ag 0.691 0.191 0.500
Cl 0.077 0.012 0.514
Cl 0.498 0.562 0.486
Cl 0.502 0.988 0.065
Cl 0.923 0.438 0.935


Material: BaSi3N
Method: DFT, PBE-GGA
State: relaxed

E_tot	-4.621	eV/atom
formation energy from raw total energies	0.683	eV/atom
symmetry	Pm-3m (221)
D(E_F)	0.7780	states/eV per atom

a = 4.551 Å, b = 4.551 Å, c = 4.551 Å
α = 90.00°, β = 90.00°, γ = 90.00°
Sites, in units of the cell vectors:
Ba 0.000 0.000 0.000
Si 0.000 0.500 0.500
Si 0.500 0.000 0.500
Si 0.500 0.500 0.000
N 0.500 0.500 0.500


Material: PrTiNb2N4
Method: DFT, PBE-GGA
State: relaxed

E_tot	-9.351	eV/atom
formation energy from raw total energies	-1.086	eV/atom
symmetry	Cmcm (63)
D(E_F)	0.4354	states/eV per atom

a = 5.863 Å, b = 5.863 Å, c = 11.019 Å
α = 90.00°, β = 90.00°, γ = 147.58°
Sites, in units of the cell vectors:
Pr 0.106 0.894 0.750
Pr 0.894 0.106 0.250
Ti 0.156 0.844 0.250
Ti 0.844 0.156 0.750
Nb 0.372 0.628 0.538
Nb 0.372 0.628 0.962
Nb 0.628 0.372 0.038
Nb 0.628 0.372 0.462
N 0.000 0.000 0.000
N 0.000 0.000 0.500
N 0.263 0.737 0.113
N 0.263 0.737 0.387
N 0.443 0.557 0.750
N 0.557 0.443 0.250
N 0.737 0.263 0.613
N 0.737 0.263 0.887